[1]
The following is a DFT calculation (PBEsol) of a geometry-optimized Fe2IrOs structure.

a b c (Å): 3.567 3.676 3.676
angles (deg): 90.00 90.00 90.00
Sites, in units of the cell vectors:
Ir  0.500  0.500  0.500
Os  0.500  0.000  0.000
Fe  0.000  0.000  0.500
Fe  0.000  0.500  0.000

Results
- DOS at the Fermi energy: 4.5 states/eV/f.u.
- Formation energy from the elements: 0.05 eV/atom
- Magnetic moment: 0.0 μB/f.u.

[2]
The following is a DFT calculation (PBEsol) of a geometry-optimized CrRu2 structure.

a b c (Å): 4.004 5.136 7.451
angles (deg): 90.00 90.00 90.00
Sites, in units of the cell vectors:
Cr  0.250  0.717  0.609
Cr  0.250  0.217  0.891
Cr  0.750  0.783  0.109
Cr  0.750  0.283  0.391
Ru  0.250  0.187  0.565
Ru  0.250  0.537  0.286
Ru  0.250  0.037  0.214
Ru  0.750  0.463  0.714
Ru  0.750  0.963  0.786
Ru  0.250  0.687  0.935
Ru  0.750  0.313  0.065
Ru  0.750  0.813  0.435

Results
- DOS at the Fermi energy: 1.6 states/eV/f.u.
- Formation energy from the elements: 0.08 eV/atom
- Magnetic moment: 0.0 μB/f.u.

What is the formula in the second record?
CrRu2